Entry 1:
Material: LiTlCl2
Method: DFT, meta-GGA SCAN
State: single point on PBEsol structure

**Offset from the most stable computed form**: 22 meV/atom
**Spin magnetization**: 0.000 μB per atom
**Total DFT energy (no corrections)**: -24.170 eV/atom
**Energy relative to the elements, uncorrected**: -1.49 eV per atom

a b c (Å): 7.429 7.429 7.429
angles (deg): 30.14 30.14 30.14
Fractional coordinates of all 4 atoms:
Li 0.000 0.000 0.000
Tl 0.500 0.500 0.500
Cl 0.269 0.269 0.269
Cl 0.731 0.731 0.731

---

Entry 2:
Material: LiTlCl2
Method: DFT, meta-GGA SCAN
State: single point on PBEsol structure

**Offset from the most stable computed form**: 57 meV/atom
**Spin magnetization**: 0.000 μB per atom
**Total DFT energy (no corrections)**: -24.135 eV/atom
**Energy relative to the elements, uncorrected**: -1.46 eV per atom

a b c (Å): 6.341 6.341 4.634
angles (deg): 90.98 90.98 36.14
Fractional coordinates of all 4 atoms:
Li 0.000 0.000 0.000
Tl 0.273 0.273 0.313
Cl 0.544 0.544 0.240
Cl 0.826 0.826 0.807

---

Entry 3:
Material: LiTlCl2
Method: DFT, meta-GGA SCAN
State: single point on PBEsol structure

**Offset from the most stable computed form**: 0 meV/atom
**Spin magnetization**: 0.000 μB per atom
**Total DFT energy (no corrections)**: -24.192 eV/atom
**Energy relative to the elements, uncorrected**: -1.52 eV per atom

a b c (Å): 6.359 6.359 6.359
angles (deg): 111.97 111.97 104.58
Fractional coordinates of all 8 atoms:
Li 0.000 0.000 0.000
Li 0.750 0.250 0.500
Tl 0.250 0.750 0.500
Tl 0.500 0.500 0.000
Cl 0.042 0.625 0.917
Cl 0.375 0.292 0.417
Cl 0.708 0.125 0.083
Cl 0.875 0.958 0.583

---

Entry 4:
Material: LiTlCl2
Method: DFT, meta-GGA SCAN
State: single point on PBEsol structure

**Offset from the most stable computed form**: 27 meV/atom
**Spin magnetization**: 0.000 μB per atom
**Total DFT energy (no corrections)**: -24.165 eV/atom
**Energy relative to the elements, uncorrected**: -1.49 eV per atom

a b c (Å): 7.502 7.502 7.502
angles (deg): 29.51 29.51 29.51
Fractional coordinates of all 4 atoms:
Li 0.000 0.000 0.000
Tl 0.832 0.832 0.832
Cl 0.397 0.397 0.397
Cl 0.602 0.602 0.602

---

Entry 5:
Material: Li3TlCl
Method: DFT, meta-GGA SCAN
State: single point on PBEsol structure

**Offset from the most stable computed form**: 0 meV/atom
**Spin magnetization**: 0.000 μB per atom
**Total DFT energy (no corrections)**: -18.269 eV/atom
**Energy relative to the elements, uncorrected**: -0.77 eV per atom

a b c (Å): 4.634 4.634 4.634
angles (deg): 90.00 90.00 90.00
Fractional coordinates of all 5 atoms:
Li 0.000 0.000 0.500
Li 0.000 0.500 0.000
Li 0.500 0.000 0.000
Tl 0.500 0.500 0.500
Cl 0.000 0.000 0.000

---

Entry 6:
Material: LiTlCl2
Method: DFT, meta-GGA SCAN
State: single point on PBEsol structure

**Offset from the most stable computed form**: 49 meV/atom
**Spin magnetization**: 0.000 μB per atom
**Total DFT energy (no corrections)**: -24.142 eV/atom
**Energy relative to the elements, uncorrected**: -1.47 eV per atom

a b c (Å): 3.943 3.514 7.075
angles (deg): 90.00 98.37 90.00
Fractional coordinates of all 4 atoms:
Li 0.000 0.000 0.000
Tl 0.500 0.000 0.500
Cl 0.076 0.500 0.771
Cl 0.924 0.500 0.229

---

Entry 7:
Material: Li2TlCl
Method: DFT, meta-GGA SCAN
State: single point on PBEsol structure

**Spin magnetization**: 0.000 μB per atom
**Total DFT energy (no corrections)**: -22.125 eV/atom
**Energy relative to the elements, uncorrected**: -0.85 eV per atom

a b c (Å): 5.586 5.586 5.586
angles (deg): 146.13 112.17 78.02
Fractional coordinates of all 4 atoms:
Li 0.197 0.197 0.000
Li 0.803 0.803 0.000
Tl 0.500 0.000 0.500
Cl 0.000 0.500 0.500

---

Entry 8:
Material: Li3TlCl
Method: DFT, meta-GGA SCAN
State: single point on PBEsol structure

**Offset from the most stable computed form**: 555 meV/atom
**Spin magnetization**: 0.600 μB per atom
**Total DFT energy (no corrections)**: -17.714 eV/atom
**Energy relative to the elements, uncorrected**: -0.21 eV per atom

a b c (Å): 5.295 5.295 5.295
angles (deg): 90.00 90.00 90.00
Fractional coordinates of all 5 atoms:
Li 0.000 0.000 0.500
Li 0.000 0.500 0.000
Li 0.500 0.000 0.000
Tl 0.000 0.000 0.000
Cl 0.500 0.500 0.500

---

Entry 9:
Material: Li2VCl4
Method: DFT, meta-GGA SCAN
State: single point on PBEsol structure

**Spin magnetization**: 0.429 μB per atom
**Total DFT energy (no corrections)**: -9.603 eV/atom
**Energy relative to the elements, uncorrected**: -1.86 eV per atom

a b c (Å): 7.259 7.259 7.259
angles (deg): 120.70 119.49 89.83
Fractional coordinates of all 14 atoms:
Li 0.000 0.000 0.500
Li 0.000 0.500 0.000
Li 0.391 0.141 0.250
Li 0.609 0.859 0.750
V 0.000 0.500 0.500
V 0.500 0.500 0.000
Cl 0.221 0.737 0.484
Cl 0.248 0.263 0.984
Cl 0.250 0.270 0.520
Cl 0.250 0.730 0.980
Cl 0.750 0.270 0.020
Cl 0.750 0.730 0.480
Cl 0.752 0.737 0.016
Cl 0.779 0.263 0.516

---

Entry 10:
Material: LiWCl
Method: DFT, meta-GGA SCAN
State: single point on PBEsol structure

**Spin magnetization**: 0.000 μB per atom
**Total DFT energy (no corrections)**: -24.937 eV/atom
**Energy relative to the elements, uncorrected**: 1.75 eV per atom

a b c (Å): 4.041 4.041 4.041
angles (deg): 60.00 60.00 60.00
Fractional coordinates of all 3 atoms:
Li 0.000 0.000 0.000
W 0.250 0.250 0.250
Cl 0.500 0.500 0.500

---

Entry 11:
Material: LiWCl2
Method: DFT, meta-GGA SCAN
State: single point on PBEsol structure

**Offset from the most stable computed form**: 0 meV/atom
**Spin magnetization**: 0.000 μB per atom
**Total DFT energy (no corrections)**: -22.516 eV/atom
**Energy relative to the elements, uncorrected**: -0.51 eV per atom

a b c (Å): 7.989 7.989 7.989
angles (deg): 21.89 21.89 21.89
Fractional coordinates of all 4 atoms:
Li 0.000 0.000 0.000
W 0.500 0.500 0.500
Cl 0.400 0.400 0.400
Cl 0.600 0.600 0.600

---

Entry 12:
Material: LiWCl2
Method: DFT, meta-GGA SCAN
State: single point on PBEsol structure

**Offset from the most stable computed form**: 459 meV/atom
**Spin magnetization**: 0.000 μB per atom
**Total DFT energy (no corrections)**: -22.057 eV/atom
**Energy relative to the elements, uncorrected**: -0.05 eV per atom

a b c (Å): 4.090 4.090 5.489
angles (deg): 98.55 98.55 42.99
Fractional coordinates of all 4 atoms:
Li 0.000 0.000 0.000
W 0.500 0.500 0.500
Cl 0.233 0.233 0.724
Cl 0.767 0.767 0.276

---

Number 1: calculated density 5.117 g/cm³. Number 2: calculated density 4.266 g/cm³. Number 3: calculated density 4.760 g/cm³. Number 4: calculated density 5.169 g/cm³. Number 5: calculated density 4.348 g/cm³. Number 6: calculated density 4.833 g/cm³. Number 7: calculated density 4.785 g/cm³. Number 8: calculated density 2.916 g/cm³. Number 9: calculated density 2.541 g/cm³. Number 10: calculated density 8.049 g/cm³. Number 11: calculated density 6.994 g/cm³. Number 12: calculated density 7.030 g/cm³.